# 1
A plane-wave DFT calculation with PBE was carried out for crystalline AcPrEr at its relaxed geometry.

a = 3.7802 Å, b = 3.7802 Å, c = 15.5628 Å
α = 90.00°, β = 90.00°, γ = 90.00°
Fractional positions:
1 Ac 0.0000 0.0000 0.0000
2 Ac 0.5000 0.5000 0.5000
3 Pr 0.0000 0.0000 0.6762
4 Pr 0.5000 0.5000 0.1762
5 Er 0.0000 0.0000 0.3314
6 Er 0.5000 0.5000 0.8314

Properties
- Space-group type: I4mm (107)
- Energy of formation: 0.053 eV per atom
- Energy above the lowest structure with this stoichiometry: 1 kJ/mol of formula units

---

# 2
A plane-wave DFT calculation with PBE was carried out for crystalline Ba2Sn2Pd at its relaxed geometry.

a = 4.2320 Å, b = 4.2320 Å, c = 19.5885 Å
α = 90.00°, β = 90.00°, γ = 90.00°
Fractional positions:
1 Ba 0.0000 0.0000 0.0950
2 Ba 0.0000 0.0000 0.9050
3 Ba 0.5000 0.5000 0.4050
4 Ba 0.5000 0.5000 0.5950
5 Sn 0.0000 0.5000 0.2500
6 Sn 0.0000 0.5000 0.7500
7 Sn 0.5000 0.0000 0.2500
8 Sn 0.5000 0.0000 0.7500
9 Pd 0.0000 0.0000 0.5000
10 Pd 0.5000 0.5000 0.0000

Properties
- Space-group type: I4/mmm (139)
- Energy of formation: -0.344 eV per atom
- Energy above the lowest structure with this stoichiometry: 155 kJ/mol of formula units

---

# 3
A plane-wave DFT calculation with PBE was carried out for crystalline Ti6AlMo at its relaxed geometry.

a = 5.1124 Å, b = 5.1227 Å, c = 5.1269 Å
α = 92.58°, β = 92.57°, γ = 92.71°
Fractional positions:
1 Ti 0.0089 0.0342 0.2530
2 Ti 0.2469 0.4914 0.9662
3 Ti 0.4659 0.7471 0.4917
4 Ti 0.5341 0.2529 0.5083
5 Ti 0.7531 0.5086 0.0338
6 Ti 0.9911 0.9658 0.7470
7 Al 0.5000 0.0000 0.0000
8 Mo 0.0000 0.5000 0.5000

Properties
- Space-group type: P-1 (2)
- Energy of formation: -0.081 eV per atom
- Energy above the lowest structure with this stoichiometry: 6 kJ/mol of formula units

---

# 4
A plane-wave DFT calculation with PBE was carried out for crystalline ZrIn2Br4F2 at its relaxed geometry.

a = 7.5269 Å, b = 7.5269 Å, c = 6.0105 Å
α = 102.67°, β = 102.67°, γ = 62.74°
Fractional positions:
1 Zr 0.0000 0.0000 0.0000
2 In 0.2654 0.2654 0.6897
3 In 0.7346 0.7346 0.3103
4 Br 0.1424 0.6576 0.1803
5 Br 0.3424 0.8576 0.8197
6 Br 0.6576 0.1424 0.1803
7 Br 0.8576 0.3424 0.8197
8 F 0.1230 0.1230 0.2869
9 F 0.8770 0.8770 0.7131

Properties
- Space-group type: C2/m (12)
- Energy relative to the elements, uncorrected: -1.6567 eV/atom

---

Result set for D(E_F): 9.68, 5.21, 11.39, 0.00 states/eV per cell, one per record in the order listed.